This record from the Open Quantum Materials Database describes KHfCuSeS2 after structural relaxation. The functional is PBE.

Output
Symmetry ... No. 63
Total DFT energy (no corrections) ... -5.636 eV per atom

```
12
Lattice="0.5209 5.7223 -4.9373 -1.8528 -2.7483 6.8122 9.2073 2.0288 3.3228" Properties=species:S:1:pos:R:3 pbc="T T T"
Cu 1.5574 1.7141 2.1566
Cu 6.3180 3.2886 3.0410
Hf 0.0000 0.0000 0.0000
Hf 4.6037 1.0144 1.6614
K 2.2509 4.1889 -1.2761
K 5.6245 0.8139 6.4738
S -0.4290 0.6325 2.4612
S 3.1591 1.4231 3.7560
S 4.7163 3.5796 1.4416
S 8.3044 4.3703 2.7365
Se 0.6247 -1.6142 6.7733
Se 7.2507 6.6169 -1.5756
```

This record from the Open Quantum Materials Database describes HfIrPt after structural relaxation. The functional is PBE.

Output
ΔH_f (0 K) ... -505 meV per atom
Symmetry ... No. 216
Energy above the lowest structure with this stoichiometry ... 0.000 eV per formula unit

```
3
Lattice="0.0000 3.0820 3.0820 3.0820 0.0000 3.0820 3.0820 3.0820 0.0000" Properties=species:S:1:pos:R:3 pbc="T T T"
Hf 0.0000 0.0000 0.0000
Ir 1.5410 1.5410 1.5410
Pt 4.6230 4.6230 4.6230
```

This record from the Open Quantum Materials Database describes Sr2Zn2O5 after structural relaxation. The functional is PBE.

Output
Symmetry ... No. 123
Energy above the lowest structure with this stoichiometry ... 0.000 eV per formula unit

```
9
Lattice="-0.9273 7.7907 -1.0713 -1.8031 0.2556 3.4193 3.3987 0.6444 1.7441" Properties=species:S:1:pos:R:3 pbc="T T T"
O -1.0978 1.7763 1.4830
O -1.6326 6.2700 0.8650
O 1.5031 1.9706 0.6454
O 0.9683 6.4644 0.0274
O 0.3341 4.3453 2.0461
Sr 0.0000 0.0000 0.0000
Sr -0.4636 3.8953 -0.5357
Zn 0.5619 2.4318 2.3092
Zn 0.1064 6.2589 1.7829
```